Entry from Alexandria via LeMat-Bulk: Nd2HoHfSb4 after structural relaxation (PBE-GGA).

Results
Symmetry = P2/m (10)
Uncorrected formation energy = -0.968 eV per atom
Electronic total energy = -6.04 eV per atom

Cell: 4.3684 7.5650 7.5753 Å, 109.31 90.00 90.00°
With the nearest neighbours (Å) after each atom.
Fractional coordinates of all 8 atoms:
Nd (0.5000, 0.0000, 0.5000)  6 Sb 3.13-3.14
Nd (0.0000, 0.5000, 0.5000)  6 Sb 3.21
Ho (0.5000, 0.5000, 0.0000)  6 Sb 3.05
Hf (0.0000, 0.0000, 0.0000)  6 Sb 2.97-2.98
Sb (0.5000, 0.2346, 0.2278)  2 Hf 2.98, 1 Ho 3.05, 3 Nd 3.13-3.21
Sb (0.5000, 0.7654, 0.7722)  2 Hf 2.98, 1 Ho 3.05, 3 Nd 3.13-3.21
Sb (0.0000, 0.2472, 0.7668)  1 Hf 2.97, 2 Ho 3.05, 3 Nd 3.14-3.21
Sb (0.0000, 0.7528, 0.2332)  1 Hf 2.97, 2 Ho 3.05, 3 Nd 3.14-3.21

Entry from Alexandria via LeMat-Bulk: CdTe4Br after structural relaxation (PBE-GGA).

Results
Symmetry = F-43m (216)
Uncorrected formation energy = 0.247 eV per atom
Electronic total energy = -2.28 eV per atom

Cell: 6.3778 6.3778 6.3778 Å, 60.00 60.00 60.00°
With the nearest neighbours (Å) after each atom.
Fractional coordinates of all 6 atoms:
Cd (0.0000, 0.0000, 0.0000)  12 Te 3.74, 4 Br 3.91
Te (0.8757, 0.3748, 0.3748)  6 Te 3.18-3.19
Te (0.3748, 0.3748, 0.8757)  6 Te 3.18-3.19
Te (0.3748, 0.8757, 0.3748)  6 Te 3.18-3.19
Te (0.3748, 0.3748, 0.3748)  6 Te 3.18-3.19
Br (0.7500, 0.7500, 0.7500)  12 Te 3.74, 4 Cd 3.91